Arrangement a

VASP calculation (PBE with a Hubbard U) on CrAuF2 after structural relaxation.

Properties
As for the space group: No. 166. The density is 6.25 g/cm³. The value obtained for the total moment is 3.94 μB per formula unit.

Lattice parameters (Å, degrees): 3.1392 3.1392 26.8181 90.00 90.00 120.00
Fractional positions:
Cr 0.0000 0.0000 0.0000
Cr 0.3333 0.6667 0.6667
Cr 0.6667 0.3333 0.3333
Au 0.0000 0.0000 0.5000
Au 0.3333 0.6667 0.1667
Au 0.6667 0.3333 0.8333
F 0.0000 0.0000 0.3714
F 0.0000 0.0000 0.6286
F 0.3333 0.6667 0.0380
F 0.3333 0.6667 0.2953
F 0.6667 0.3333 0.7047
F 0.6667 0.3333 0.9620

Arrangement b

VASP calculation (PBE with a Hubbard U) on CrAuF2 after structural relaxation.

Properties
As for the space group: No. 225. The density is 8.52 g/cm³. The value obtained for the total moment is 4.66 μB per formula unit.

Lattice parameters (Å, degrees): 6.0714 6.0714 6.0714 90.00 90.00 90.00
Fractional positions:
Cr 0.0000 0.0000 0.0000
Cr 0.0000 0.5000 0.5000
Cr 0.5000 0.0000 0.5000
Cr 0.5000 0.5000 0.0000
Au 0.0000 0.0000 0.5000
Au 0.0000 0.5000 0.0000
Au 0.5000 0.0000 0.0000
Au 0.5000 0.5000 0.5000
F 0.2500 0.2500 0.2500
F 0.2500 0.2500 0.7500
F 0.2500 0.7500 0.2500
F 0.2500 0.7500 0.7500
F 0.7500 0.2500 0.2500
F 0.7500 0.2500 0.7500
F 0.7500 0.7500 0.2500
F 0.7500 0.7500 0.7500

Energy comparison, zero being the most stable, in kJ/mol of atoms: arrangement a 0.0; arrangement b 62.7.

Arrangement a

VASP calculation (PBE with a Hubbard U) on CrAu2F after structural relaxation.

Properties
As for the space group: No. 225. The density is 11.71 g/cm³. The value obtained for the total moment is 4.59 μB per formula unit.

Lattice parameters (Å, degrees): 6.4134 6.4134 6.4134 90.00 90.00 90.00
Fractional positions:
Cr 0.0000 0.0000 0.0000
Cr 0.0000 0.5000 0.5000
Cr 0.5000 0.0000 0.5000
Cr 0.5000 0.5000 0.0000
Au 0.2500 0.2500 0.2500
Au 0.2500 0.2500 0.7500
Au 0.2500 0.7500 0.2500
Au 0.2500 0.7500 0.7500
Au 0.7500 0.2500 0.2500
Au 0.7500 0.2500 0.7500
Au 0.7500 0.7500 0.2500
Au 0.7500 0.7500 0.7500
F 0.0000 0.0000 0.5000
F 0.0000 0.5000 0.0000
F 0.5000 0.0000 0.0000
F 0.5000 0.5000 0.5000

Arrangement b

VASP calculation (PBE with a Hubbard U) on CrAu2F after structural relaxation.

Properties
As for the space group: No. 122. The density is 10.63 g/cm³. The value obtained for the total moment is 4.14 μB per formula unit.

Lattice parameters (Å, degrees): 7.5464 7.5464 5.1034 90.00 90.00 90.00
Fractional positions:
Cr 0.0000 0.0000 0.0000
Cr 0.0000 0.5000 0.2500
Cr 0.5000 0.0000 0.7500
Cr 0.5000 0.5000 0.5000
Au 0.2294 0.2500 0.6250
Au 0.2500 0.7294 0.8750
Au 0.2500 0.7706 0.3750
Au 0.2706 0.2500 0.1250
Au 0.7294 0.7500 0.1250
Au 0.7500 0.2294 0.3750
Au 0.7500 0.2706 0.8750
Au 0.7706 0.7500 0.6250
F 0.0000 0.0000 0.5000
F 0.0000 0.5000 0.7500
F 0.5000 0.0000 0.2500
F 0.5000 0.5000 0.0000

Energy comparison, zero being the most stable, in kJ/mol of atoms: arrangement a 10.8; arrangement b 0.0.